# SbP2O

A relaxed SbP2O crystal (PBEsol, Alexandria).

Properties
Uncorrected formation energy ... 0.14 eV/atom
Symmetry ... No. 122
Uncorrected energy ... -0.191 Ha/atom

a b c (Å): 4.6920 4.6920 7.2351
angles (deg): 108.92 108.92 90.00
Closest atoms and distances in Å follow each position.
Positions (direct):
Sb: 0.2500 0.7500 0.5000  4 P 2.76
Sb: 0.0000 0.0000 0.0000  4 P 2.76
O: 0.7500 0.2500 0.5000  4 P 2.04
O: 0.5000 0.5000 0.0000  4 P 2.04
P: 0.7177 0.3750 0.2500  2 O 2.04
P: 0.5323 0.8750 0.2500  2 O 2.04
P: 0.6250 0.4677 0.7500  2 O 2.04
P: 0.1250 0.2823 0.7500  2 O 2.04

***

# SbP2O7

A relaxed SbP2O7 crystal (PBEsol, Alexandria).

Properties
Uncorrected formation energy ... -1.88 eV/atom
Symmetry ... No. 14
Uncorrected energy ... -0.263 Ha/atom
E above lowest polymorph ... 41.5 meV/atom

a b c (Å): 7.3234 8.4945 9.8034
angles (deg): 90.00 110.40 90.00
Closest atoms and distances in Å follow each position.
Positions (direct):
Sb: 0.7322 0.4962 0.2487  6 O 2.08-2.18
Sb: 0.7322 0.0038 0.7487  6 O 2.08-2.18
Sb: 0.2678 0.9962 0.2513  6 O 2.08-2.18
Sb: 0.2678 0.5038 0.7513  6 O 2.08-2.18
P: 0.6787 0.7021 0.9430  4 O 1.53-1.60
P: 0.3213 0.2979 0.0570  4 O 1.53-1.60
P: 0.9162 0.2406 0.0455  4 O 1.53-1.61
P: 0.0838 0.7406 0.4545  4 O 1.53-1.61
P: 0.0838 0.7594 0.9545  4 O 1.53-1.61
P: 0.9162 0.2594 0.5455  4 O 1.53-1.61
P: 0.3213 0.2021 0.5570  4 O 1.53-1.60
P: 0.6787 0.7979 0.4430  4 O 1.53-1.60
O: 0.6705 0.6866 0.0965  1 P 1.53
O: 0.7908 0.3587 0.0906  1 P 1.53
O: 0.5543 0.9172 0.3331  1 P 1.53
O: 0.2092 0.6413 0.9094  1 P 1.53
O: 0.6705 0.8134 0.5965  1 P 1.53
O: 0.4457 0.4172 0.1669  1 P 1.53
O: 0.8946 0.6597 0.9486  2 P 1.60-1.61
O: 0.8065 0.1988 0.8854  1 P 1.54
O: 0.6379 0.6252 0.3954  1 P 1.54
O: 0.0199 0.5971 0.3553  1 P 1.53
O: 0.3295 0.1866 0.4035  1 P 1.53
O: 0.3621 0.1252 0.1046  1 P 1.54
O: 0.9801 0.0971 0.1447  1 P 1.53
O: 0.1054 0.3403 0.0514  2 P 1.60-1.61
O: 0.2092 0.8587 0.4094  1 P 1.53
O: 0.6379 0.8748 0.8954  1 P 1.54
O: 0.8946 0.8403 0.4486  2 P 1.60-1.61
O: 0.3295 0.3134 0.9035  1 P 1.53
O: 0.1935 0.8012 0.1146  1 P 1.54
O: 0.9801 0.4029 0.6447  1 P 1.53
O: 0.1935 0.6988 0.6146  1 P 1.54
O: 0.1054 0.1597 0.5514  2 P 1.60-1.61
O: 0.0199 0.9029 0.8553  1 P 1.53
O: 0.7908 0.1413 0.5906  1 P 1.53
O: 0.3621 0.3748 0.6046  1 P 1.54
O: 0.8065 0.3012 0.3854  1 P 1.54
O: 0.4457 0.0828 0.6669  1 P 1.53
O: 0.5543 0.5828 0.8331  1 P 1.53

***

# SbPO5

A relaxed SbPO5 crystal (PBEsol, Alexandria).

Properties
Uncorrected formation energy ... -1.79 eV/atom
Symmetry ... No. 15
Uncorrected energy ... -0.258 Ha/atom
E above lowest polymorph ... 0.0 meV/atom

a b c (Å): 5.3015 5.3015 7.0741
angles (deg): 106.34 106.34 100.36
Closest atoms and distances in Å follow each position.
Positions (direct):
O: 0.0948 0.9052 0.2500  2 Sb 1.93
O: 0.9052 0.0948 0.7500  2 Sb 1.93
O: 0.3179 0.8749 0.6309  1 P 1.55
O: 0.1251 0.6821 0.8691  1 P 1.55
O: 0.6821 0.1251 0.3691  1 P 1.55
O: 0.8749 0.3179 0.1309  1 P 1.55
O: 0.7432 0.6228 0.4068  1 P 1.54
O: 0.3772 0.2568 0.0932  1 P 1.54
O: 0.2568 0.3772 0.5932  1 P 1.54
O: 0.6228 0.7432 0.9068  1 P 1.54
P: 0.6704 0.3296 0.2500  4 O 1.54-1.55
P: 0.3296 0.6704 0.7500  4 O 1.54-1.55
Sb: 0.0000 0.0000 0.0000  6 O 1.93-2.02
Sb: 0.0000 0.0000 0.5000  6 O 1.93-2.02